Density functional theory data (GGA+U) for NaMnOF2 after structural relaxation.

The value obtained for the calculated volume is 67 Å³/cell. Its density of states at the Fermi level is 0.04 states/eV/cell. Its electronic total energy is -4.725 eV/atom.

It has space group P4/mmm (No. 123), with a = 3.9932 Å, b = 3.9932 Å, c = 4.2083 Å, α = 90.00°, β = 90.00° and γ = 90.00°. Symmetry generates all atoms from Na at (0.0000, 0.0000, 0.0000), Mn at (0.5000, 0.5000, 0.5000), O at (0.0000, 0.0000, 0.5000) and F at (0.0000, 0.5000, 0.0000).